Sc2CuPbC | PBE-GGA | optimized geometry

The space group is P4/mmm (No. 123) and the conventional cell measures 4.5885, 4.5885 and 4.0864 Å, with angles of 90.00, 90.00 and 90.00 degrees. Symmetry generates all atoms from Sc at (0.0000, 0.5000, 0.0000), Cu at (0.0000, 0.0000, 0.5000), Pb at (0.5000, 0.5000, 0.5000) and C at (0.0000, 0.0000, 0.0000).

As for the formation energy: -0.295 eV/atom. Its energy above the lowest structure with this stoichiometry is 0 kJ/mol of formula units. The value obtained for the final energy is -6.233 eV per atom.